A relaxed MgHgSb2 crystal, computed with PBE.

Cell lengths 7.4267, 7.4267, 7.4267 Å; angles 90.00, 90.00, 90.00 degrees
Space group Fm-3m (No. 225)
Asymmetric unit:
Mg1 0.0000 0.0000 0.0000
Hg1 0.0000 0.0000 0.5000
Sb1 0.2500 0.2500 0.2500

Results
DOS at the Fermi energy: 1.06 states/eV/atom
energy above the lowest structure with this stoichiometry: 0.65 eV per formula unit
raw formation energy: 0.12 eV/atom
size of the total moment: 0.0 μB/cell